VASP calculation (PBE) on a relaxed structure of Sr2Cu2Pt.

a = 7.2206 Å, b = 7.2206 Å, c = 4.4036 Å
α = 90.00°, β = 90.00°, γ = 90.00°
Closest atoms and distances in Å follow each position.
Space group P4/mbm (No. 127)
Symmetry-distinct sites (fractional):
Sr (0.1864, 0.3136, 0.0000) [4 per cell]  6 Cu 2.95-3.16
Cu (0.1206, 0.6206, 0.5000) [4 per cell]  1 Cu 2.46
Pt (0.0000, 0.0000, 0.5000) [2 per cell]  4 Cu 2.87

Output
Total energy in eV per atom: -3.746
Distance to the lowest polymorph of the same formula in meV/atom: 134
DFT formation energy in kcal/mol of atoms: -5.23


VASP calculation (PBE) on a relaxed structure of ZnRuW2.

a = 3.7740 Å, b = 3.7740 Å, c = 8.4464 Å
α = 90.00°, β = 90.00°, γ = 90.00°
Closest atoms and distances in Å follow each position.
Space group I4/mmm (No. 139)
Symmetry-distinct sites (fractional):
Zn (0.0000, 0.0000, 0.0000) [2 per cell]  4 Ru 2.67, 8 W 2.83
Ru (0.0000, 0.0000, 0.5000) [2 per cell]  4 Zn 2.67, 8 W 2.83
W (0.0000, 0.5000, 0.2500) [4 per cell]  4 W 2.67, 4 Ru 2.83, 4 Zn 2.83

Output
Total energy in eV per atom: -8.885
DFT formation energy in kcal/mol of atoms: 5.28


VASP calculation (PBE) on a relaxed structure of Rb2AgI.

a = 5.2396 Å, b = 5.2396 Å, c = 25.9819 Å
α = 90.00°, β = 90.00°, γ = 120.00°
Closest atoms and distances in Å follow each position.
Space group R-3m (No. 166, hexagonal axes)
Symmetry-distinct sites (fractional):
Rb (0.0000, 0.0000, 0.2503) [6 per cell]  3 Ag 3.72, 3 I 3.72
Ag (0.0000, 0.0000, 0.0000) [3 per cell]  6 Rb 3.72
I (0.0000, 0.0000, 0.5000) [3 per cell]  6 Rb 3.72

Output
Total energy in eV per atom: -2.257
ΔE_f (raw) in eV/atom: -0.673
Distance to the lowest polymorph of the same formula in meV/atom: 0


VASP calculation (PBE) on a relaxed structure of PrTlCdPt.

a = 7.2192 Å, b = 7.2192 Å, c = 7.2192 Å
α = 90.00°, β = 90.00°, γ = 90.00°
Closest atoms and distances in Å follow each position.
Space group F-43m (No. 216)
Symmetry-distinct sites (fractional):
Pr (0.0000, 0.0000, 0.0000) [4 per cell]  4 Tl 3.13, 4 Pt 3.13
Tl (0.2500, 0.2500, 0.2500) [4 per cell]  4 Cd 3.13, 4 Pr 3.13
Cd (0.0000, 0.0000, 0.5000) [4 per cell]  4 Tl 3.13, 4 Pt 3.13
Pt (0.2500, 0.2500, 0.7500) [4 per cell]  4 Cd 3.13, 4 Pr 3.13

Output
Total energy in eV per atom: -3.978
DFT formation energy in kcal/mol of atoms: -10.45


VASP calculation (PBE) on a relaxed structure of Ag4SeF2.

a = 6.2312 Å, b = 6.2370 Å, c = 7.9881 Å
α = 106.68°, β = 106.67°, γ = 105.19°
Closest atoms and distances in Å follow each position.
Space group P1 (No. 1)
Symmetry-distinct sites (fractional):
Ag (0.0000, 0.0000, 0.0000) [1 per cell]  2 F 2.35-2.47
Ag (0.0082, 0.9947, 0.5000) [1 per cell]  2 F 2.35-2.47
Ag (0.1795, 0.5919, 0.4857) [1 per cell]  2 F 2.39-2.54, 1 Se 2.63
Ag (0.4338, 0.9171, 0.3449) [1 per cell]  2 F 2.34-2.47
Ag (0.5319, 0.6051, 0.8549) [1 per cell]  2 F 2.37-2.54, 1 Se 2.62
Ag (0.5989, 0.1738, 0.9909) [1 per cell]  2 F 2.37-2.54, 1 Se 2.62
Ag (0.6152, 0.5281, 0.3607) [1 per cell]  2 F 2.39-2.53, 1 Se 2.63
Ag (0.9250, 0.4245, 0.8471) [1 per cell]  2 F 2.35-2.47
Se (0.6361, 0.8820, 0.6739) [1 per cell]  6 Ag 2.62-2.77
Se (0.8854, 0.6299, 0.1728) [1 per cell]  6 Ag 2.62-2.78
F (0.2331, 0.2508, 0.8215) [1 per cell]  4 Ag 2.35-2.54
F (0.2575, 0.2241, 0.3212) [1 per cell]  4 Ag 2.35-2.54
F (0.3342, 0.8513, 0.0233) [1 per cell]  4 Ag 2.34-2.54
F (0.8607, 0.3290, 0.5256) [1 per cell]  4 Ag 2.35-2.53

Output
Total energy in eV per atom: -3.278
ΔE_f (raw) in eV/atom: -0.617
Distance to the lowest polymorph of the same formula in meV/atom: 0


VASP calculation (PBE) on a relaxed structure of AlZn6O6.

a = 5.7366 Å, b = 5.7366 Å, c = 5.7366 Å
α = 90.00°, β = 90.00°, γ = 90.00°
Closest atoms and distances in Å follow each position.
Space group Pm-3 (No. 200)
Symmetry-distinct sites (fractional):
Al (0.0000, 0.0000, 0.0000) [1 per cell]  12 O 3.21, 12 Zn 3.21
Zn (0.0000, 0.2511, 0.5000) [6 per cell]  4 O 2.02-2.04
O (0.0000, 0.5000, 0.2508) [6 per cell]  4 Zn 2.02-2.04

Output
Total energy in eV per atom: -4.232
ΔE_f (raw) in eV/atom: -1.068


VASP calculation (PBE) on a relaxed structure of KSe2BrN.

a = 5.9066 Å, b = 5.9066 Å, c = 3.6864 Å
α = 90.00°, β = 90.00°, γ = 90.00°
Closest atoms and distances in Å follow each position.
Space group P4/mmm (No. 123)
Symmetry-distinct sites (fractional):
K (0.0000, 0.0000, 0.0000) [1 per cell]  8 Se 3.48, 2 K 3.69
Se (0.0000, 0.5000, 0.5000) [2 per cell]  2 Br 2.95
Br (0.5000, 0.5000, 0.5000) [1 per cell]  2 N 1.84
N (0.5000, 0.5000, 0.0000) [1 per cell]  2 Br 1.84

Output
Total energy in eV per atom: -2.708
ΔE_f (raw) in eV/atom: 0.905
Distance to the lowest polymorph of the same formula in meV/atom: 724


VASP calculation (PBE) on a relaxed structure of TlFeSe.

a = 4.1598 Å, b = 4.1598 Å, c = 4.7454 Å
α = 90.00°, β = 90.00°, γ = 120.00°
Closest atoms and distances in Å follow each position.
Space group P-6m2 (No. 187)
Symmetry-distinct sites (fractional):
Tl (0.0000, 0.0000, 0.0000) [1 per cell]  6 Fe 3.38, 6 Se 3.38
Fe (0.3333, 0.6667, 0.5000) [1 per cell]  3 Se 2.40
Se (0.6667, 0.3333, 0.5000) [1 per cell]  3 Fe 2.40

Output
Total energy in eV per atom: -4.712
ΔE_f (raw) in eV/atom: 0.059
Distance to the lowest polymorph of the same formula in meV/atom: 175


VASP calculation (PBE) on a relaxed structure of MgSnB.

a = 5.8044 Å, b = 3.5628 Å, c = 6.0031 Å
α = 90.00°, β = 107.15°, γ = 90.00°
Closest atoms and distances in Å follow each position.
Space group P2/m (No. 10)
Symmetry-distinct sites (fractional):
Mg (0.2499, 0.0000, 0.2155) [2 per cell]  4 B 2.54-2.56
Sn (0.2287, 0.0000, 0.7204) [2 per cell]  2 B 2.41
B (0.0793, 0.5000, 0.9092) [2 per cell]  1 B 1.62

Output
Total energy in eV per atom: -3.891
Distance to the lowest polymorph of the same formula in meV/atom: 135
DFT formation energy in kcal/mol of atoms: 4.64


VASP calculation (PBE) on a relaxed structure of Nb2InTcH.

a = 4.2063 Å, b = 4.2063 Å, c = 4.1233 Å
α = 90.00°, β = 90.00°, γ = 90.00°
Closest atoms and distances in Å follow each position.
Space group P4/mmm (No. 123)
Symmetry-distinct sites (fractional):
Nb (0.0000, 0.5000, 0.0000) [2 per cell]  2 H 2.10
In (0.0000, 0.0000, 0.5000) [1 per cell]  8 Nb 2.95, 4 Tc 2.97
Tc (0.5000, 0.5000, 0.5000) [1 per cell]  2 H 2.06
H (0.5000, 0.5000, 0.0000) [1 per cell]  2 Tc 2.06, 4 Nb 2.10

Output
Total energy in eV per atom: -7.357


VASP calculation (PBE) on a relaxed structure of LaAlRu2.

a = 4.5782 Å, b = 4.5782 Å, c = 3.4013 Å
α = 90.00°, β = 90.00°, γ = 90.00°
Closest atoms and distances in Å follow each position.
Space group P4/mmm (No. 123)
Symmetry-distinct sites (fractional):
La (0.0000, 0.0000, 0.0000) [1 per cell]  8 Ru 2.85
Al (0.5000, 0.5000, 0.0000) [1 per cell]  8 Ru 2.85
Ru (0.0000, 0.5000, 0.5000) [2 per cell]  4 La 2.85, 4 Al 2.85

Output
Total energy in eV per atom: -6.959
DFT formation energy in kcal/mol of atoms: -3.53


VASP calculation (PBE) on a relaxed structure of LaErScTl.

a = 7.7228 Å, b = 7.7228 Å, c = 7.7228 Å
α = 90.00°, β = 90.00°, γ = 90.00°
Closest atoms and distances in Å follow each position.
Space group F-43m (No. 216)
Symmetry-distinct sites (fractional):
La (0.0000, 0.0000, 0.0000) [4 per cell]  4 Tl 3.34, 4 Sc 3.34
Er (0.0000, 0.0000, 0.5000) [4 per cell]  4 Sc 3.34, 4 Tl 3.34
Sc (0.2500, 0.2500, 0.2500) [4 per cell]  4 La 3.34, 4 Er 3.34
Tl (0.2500, 0.2500, 0.7500) [4 per cell]  4 La 3.34, 4 Er 3.34

Output
Total energy in eV per atom: -4.621
DFT formation energy in kcal/mol of atoms: -1.71


total energy of number 7 (KSe2BrN)? -2.708 eV per atom


Among the records above, which one has the lowest total energy? ZnRuW2


Please write out number 12 again, unchanged.
VASP calculation (PBE) on a relaxed structure of LaErScTl.

a = 7.7228 Å, b = 7.7228 Å, c = 7.7228 Å
α = 90.00°, β = 90.00°, γ = 90.00°
Closest atoms and distances in Å follow each position.
Space group F-43m (No. 216)
Symmetry-distinct sites (fractional):
La (0.0000, 0.0000, 0.0000) [4 per cell]  4 Tl 3.34, 4 Sc 3.34
Er (0.0000, 0.0000, 0.5000) [4 per cell]  4 Sc 3.34, 4 Tl 3.34
Sc (0.2500, 0.2500, 0.2500) [4 per cell]  4 La 3.34, 4 Er 3.34
Tl (0.2500, 0.2500, 0.7500) [4 per cell]  4 La 3.34, 4 Er 3.34

Output
Total energy in eV per atom: -4.621
DFT formation energy in kcal/mol of atoms: -1.71